Material: Li4Tl2AgAu
Method: DFT, PBE
State: relaxed

POSCAR file:
```
Li4Tl2AgAu
1.0
-3.6487 0.9009 -2.7839
-2.8150 0.1334 3.7327
1.1242 6.4598 0.6169
Li Au Ag Tl
4 1 1 2
direct
0.5000 0.0000 0.2549
0.5000 0.5000 0.0000
0.0000 0.5000 0.7451
0.0000 0.0000 0.5000
0.5000 0.5000 0.5000
0.0000 0.0000 0.0000
0.0000 0.5000 0.2475
0.5000 0.0000 0.7525
```

Computed properties:
- V (Å³/cell) = 144
- energy (eV/f.u.) = -20.75

=====

Material: Li2TlZnAg2Au2
Method: DFT, PBE
State: relaxed

POSCAR file:
```
Li2TlZnAg2Au2
1.0
-2.8583 -2.2016 2.6960
1.5231 -3.9279 -1.5927
4.7597 -0.1507 4.9232
Li Ag Zn Au Tl
2 2 1 2 1
direct
0.0000 0.0000 0.5000
0.5000 0.5000 0.0000
0.5000 0.0000 0.7240
0.0000 0.5000 0.2760
0.5000 0.5000 0.5000
0.5000 0.0000 0.2819
0.0000 0.5000 0.7181
0.0000 0.0000 0.0000
```

Computed properties:
- V (Å³/cell) = 139
- energy (eV/f.u.) = -21.71

=====

Material: Lu2AgAu
Method: DFT, PBE
State: relaxed

POSCAR file:
```
Lu2AgAu
1.0
-4.0944 -0.8527 2.5089
-4.3410 0.8331 -2.0609
-2.8761 -3.7431 -1.2257
Ag Au Lu
1 1 2
direct
0.5000 0.5000 0.5000
0.7500 0.7500 0.7500
0.0000 0.0000 0.0000
0.2500 0.2500 0.2500
```

Computed properties:
- V (Å³/cell) = 82
- ΔH_f (0 K) (meV/atom) = -320
- size of the total moment (μB/atom) = 0.00

=====

Material: LuAgAu
Method: DFT, PBE
State: relaxed

POSCAR file:
```
LuAgAu
1.0
-1.8339 1.8339 4.5158
1.8339 -1.8339 4.5158
1.8339 1.8339 -4.5158
Lu Au Ag
1 1 1
direct
0.9456 0.9456 0.0000
0.2867 0.2867 0.0000
0.6177 0.6177 0.0000
```

Computed properties:
- V (Å³/cell) = 61
- ΔH_f (0 K) (meV/atom) = -649
- offset from the most stable computed form (meV/atom) = 0
- size of the total moment (μB/atom) = 0.00

=====

> Which of these has the highest V?

Li4Tl2AgAu

=====

> The highest V belongs to which entry?

Li4Tl2AgAu